Record 1
This record from Alexandria via LeMat-Bulk describes a relaxed structure of BHPt6Pb2. The functional is PBE-GGA.

The value obtained for the total moment is 0.0 Bohr magnetons per cell. The density of states at the Fermi level comes out at 2.6 states/eV/f.u. Its calculated total energy is -5.455 eV per atom.

It has space group C2/m (No. 12), with a = 9.9163 Å, b = 5.6985 Å, c = 6.9816 Å, α = 90.00°, β = 124.68° and γ = 90.00°. The asymmetric unit holds B at (0.0000, 0.0000, 0.0000), H at (0.0000, 0.5000, 0.5000), Pt at (0.0167, 0.2503, 0.2410), Pt at (0.2171, 0.5000, 0.7095) and Pb at (0.2301, 0.0000, 0.7509).



Record 2
This record from Alexandria via LeMat-Bulk describes a relaxed structure of Rb3DyPu3Se8. The functional is PBE-GGA.

The value obtained for the total moment is 9.4 Bohr magnetons per cell. The density of states at the Fermi level comes out at 35.2 states/eV/f.u. Its calculated total energy is -6.699 eV per atom.

It has space group C2/m (No. 12), with a = 14.7389 Å, b = 8.4906 Å, c = 9.4469 Å, α = 90.00°, β = 121.24° and γ = 90.00°. The asymmetric unit holds Rb at (0.0000, 0.0000, 0.0000), Rb at (0.2500, 0.2500, 0.0000), Dy at (0.0000, 0.0000, 0.5000), Pu at (0.0000, 0.5000, 0.5000), Pu at (0.2500, 0.2500, 0.5000), Se at (0.0191, 0.2495, 0.3089), Se at (0.2302, 0.0000, 0.6893) and Se at (0.2320, 0.5000, 0.6937).



Record 3
This record from Alexandria via LeMat-Bulk describes a relaxed structure of TbSm5Tl. The functional is PBE-GGA.

Its formation enthalpy at 0 K is 0.7433 eV per atom. The value obtained for the total moment is 0.0 Bohr magnetons per cell. The density of states at the Fermi level comes out at 9.5 states/eV/f.u.

It has space group Imm2 (No. 44), with a = 8.5756 Å, b = 11.5963 Å, c = 5.9887 Å, α = 90.00°, β = 90.00° and γ = 90.00°. The asymmetric unit holds Tb at (0.0000, 0.0000, 0.0000), Sm at (0.0000, 0.0000, 0.5167), Sm at (0.0000, 0.2505, 0.1379), Sm at (0.1720, 0.5000, 0.7434) and Tl at (0.0000, 0.5000, 0.2689).